Entry 1:
Tb3Dy4Mg2 | PBE-GGA | optimized geometry Values from VASP.

Values from the calculation:
Calculated density in Mg/m³: 7.2
Formation energy in eV per atom: 0.008
Calculated total energy in eV/cell: -35.4

```
&SYSTEM
  ibrav = 0, nat = 9, ntyp = 3
/
ATOMIC_SPECIES
Tb 158.93 Tb.upf
Dy 162.50 Dy.upf
Mg 24.30 Mg.upf
CELL_PARAMETERS angstrom
4.9287 0.0000 0.0000
0.0000 7.7836 0.6645
-2.4643 -2.9591 6.7887
ATOMIC_POSITIONS crystal
Tb 0.8883 0.3335 0.7766
Tb 0.1117 0.6665 0.2234
Tb 0.0000 0.0000 0.0000
Dy 0.5557 0.3335 0.1113
Dy 0.7785 0.6697 0.5570
Dy 0.4443 0.6665 0.8887
Dy 0.2215 0.3303 0.4430
Mg 0.3309 0.0008 0.6618
Mg 0.6691 0.9992 0.3382
```

Entry 2:
TbDy2Mg4 | PBE-GGA | optimized geometry Values from VASP.

Values from the calculation:
Calculated density in Mg/m³: 4.6
Formation energy in eV per atom: 0.139
Calculated total energy in eV/cell: -19.2

```
&SYSTEM
  ibrav = 0, nat = 7, ntyp = 3
/
ATOMIC_SPECIES
Tb 158.93 Tb.upf
Dy 162.50 Dy.upf
Mg 24.30 Mg.upf
CELL_PARAMETERS angstrom
-2.7899 3.9054 2.4175
-3.5394 -0.0252 -4.0438
-0.7729 -6.9055 4.2905
ATOMIC_POSITIONS crystal
Tb 0.0000 0.0000 0.0000
Dy 0.7498 0.7498 0.4996
Dy 0.2502 0.2502 0.5004
Mg 0.3823 0.8823 0.7646
Mg 0.8823 0.3823 0.7646
Mg 0.6177 0.1177 0.2354
Mg 0.1177 0.6177 0.2354
```

Entry 3:
Tb4Dy2Mg | PBE-GGA | optimized geometry Values from VASP.

Values from the calculation:
Calculated density in Mg/m³: 7.3
Formation energy in eV per atom: 0.207
Calculated total energy in eV/cell: -111.5

```
&SYSTEM
  ibrav = 0, nat = 28, ntyp = 3
/
ATOMIC_SPECIES
Tb 158.93 Tb.upf
Dy 162.50 Dy.upf
Mg 24.30 Mg.upf
CELL_PARAMETERS angstrom
-1.6792 -0.8278 -6.4312
9.6344 -7.0653 -1.6061
-2.3251 -11.6396 2.1053
ATOMIC_POSITIONS crystal
Tb 0.2443 0.1985 0.5408
Tb 0.7540 0.3475 0.4813
Tb 0.2540 0.0187 0.1525
Tb 0.7443 0.0408 0.6985
Tb 0.7443 0.9592 0.3015
Tb 0.2540 0.9813 0.8475
Tb 0.7540 0.6525 0.5187
Tb 0.2443 0.8015 0.4592
Tb 0.2557 0.6985 0.0408
Tb 0.7460 0.8475 0.9813
Tb 0.2460 0.5187 0.6525
Tb 0.7557 0.5408 0.1985
Tb 0.7557 0.4592 0.8015
Tb 0.2460 0.4813 0.3475
Tb 0.7460 0.1525 0.0187
Tb 0.2557 0.3015 0.9592
Dy 0.5000 0.2500 0.2500
Dy 0.0000 0.2444 0.7556
Dy 0.0000 0.7556 0.2444
Dy 0.5000 0.7500 0.7500
Dy 0.5000 0.7444 0.2556
Dy 0.0000 0.7500 0.7500
Dy 0.5000 0.2556 0.7444
Dy 0.0000 0.2500 0.2500
Mg 0.4921 0.0000 0.5000
Mg 0.9921 0.0000 0.5000
Mg 0.5079 0.5000 0.0000
Mg 0.0079 0.5000 0.0000
```